No. 1
Crystalline Ca3La2Pd4 at its relaxed geometry, computed with PBE.

The structure in POSCAR format:
```
Ca3La2Pd4
1.0
-1.8222 -2.5268 6.9685
7.8753 -0.6737 -0.9588
0.9826 7.3356 2.9169
La Pd Ca
4 8 6
Cartesian
5.4656 3.1105 8.0935
0.7937 0.7655 4.7168
6.2421 3.3695 4.2098
1.5702 1.0245 0.8332
-0.4305 1.6635 7.3786
7.4663 2.4715 1.5481
3.4204 1.4428 3.2036
0.9203 6.2099 5.1997
6.1154 -2.0749 3.7269
2.2774 -1.5519 5.9994
4.7584 5.6870 2.9272
3.6153 2.6923 5.7230
4.8632 -0.0192 5.4783
4.4290 3.3309 0.9791
2.1725 4.1542 3.4483
3.0266 -1.6003 3.0049
1.4104 4.0028 7.3748
5.6254 0.1322 1.5519
```

Summary:
Fermi-level density of states in states/eV per atom: 0.44
Calculated formation energy in kJ per mole of atoms: -68.7
Raw total energy in eV per cell: -86.1

No. 2
Crystalline CsK2Pu3F12 at its relaxed geometry, computed with PBE.

The structure in POSCAR format:
```
CsK2Pu3F12
1.0
-1.9855 3.9400 7.0948
-7.8795 -0.9168 2.6220
-1.0900 -4.8568 6.7101
Cs F K Pu
1 12 2 3
Cartesian
0.0000 0.0000 0.0000
-6.1867 -1.2011 13.0617
-3.0139 -0.7621 10.4103
-4.1642 2.0407 8.8827
-3.5903 -3.5963 8.6362
-2.3417 1.3669 5.2066
-4.7683 -0.6326 3.3652
-8.9819 0.4210 11.3787
-7.9410 -1.0715 6.0166
-7.3646 1.7626 7.7907
-6.7908 -3.8743 7.5442
-1.9731 -2.2547 5.0482
-8.6132 -3.2006 11.2203
-3.8273 -0.6406 5.7391
-7.1276 -1.1930 10.6878
-0.5450 -2.4284 3.3550
-3.9397 -0.4584 1.3110
-0.9927 1.9700 3.5474
```

Summary:
Uncorrected formation energy in eV per atom: -3.296
Fermi-level density of states in states/eV per atom: 0.66
Raw total energy in eV per cell: -127.8

Question: Look up the raw total energy of the first one.
Answer: -86.1 eV per cell